No. 1
# ScMn2Cr

A relaxed ScMn2Cr crystal (PBE-GGA, Alexandria).

abc: 2.9150 2.9150 6.5572
angles: 90.00 90.00 90.00
Last column: nearest neighbours and their distance in Å.
Space group P4/mmm (No. 123)
Unique sites:
Sc (0.0000, 0.0000, 0.0000) (multiplicity 1)  8 Mn 2.81, 4 Sc 2.91
Mn (0.5000, 0.5000, 0.2907) (multiplicity 2)  4 Cr 2.48, 1 Mn 2.74
Cr (0.0000, 0.0000, 0.5000) (multiplicity 1)  8 Mn 2.48

Energy of formation from the pure elements, eV/atom: 0.060
Volume, Å³/f.u.: 56
Distance to the lowest polymorph of the same formula, meV/atom: 0.0
DOS at the Fermi energy, states/eV per cell: 3.840
Magnetic moment, μB per atom: 0.4015


No. 2
# HfBeAg

A relaxed HfBeAg crystal (PBE-GGA, Alexandria).

abc: 3.3562 5.4567 10.5368
angles: 90.00 90.00 90.00
Last column: nearest neighbours and their distance in Å.
Space group Immm (No. 71)
Unique sites:
Hf (0.0000, 0.0000, 0.1989) (multiplicity 4)  4 Be 2.59-2.87
Be (0.0000, 0.5000, 0.1140) (multiplicity 4)  1 Be 2.40, 4 Ag 2.47, 2 Hf 2.59
Ag (0.0000, 0.2502, 0.5000) (multiplicity 4)  4 Be 2.47, 2 Ag 2.73

Energy of formation from the pure elements, eV/atom: 0.023
Volume, Å³/f.u.: 48
Distance to the lowest polymorph of the same formula, meV/atom: 175.4
DOS at the Fermi energy, states/eV per cell: 9.856
Magnetic moment, μB per atom: 0.0000


No. 3
# Cs2BaPu2O7

A relaxed Cs2BaPu2O7 crystal (PBE-GGA, Alexandria).

abc: 4.3912 4.3912 23.9363
angles: 90.00 90.00 90.00
Last column: nearest neighbours and their distance in Å.
Space group I4/mmm (No. 139)
Unique sites:
Cs (0.0000, 0.0000, 0.1901) (multiplicity 4)  9 O 3.13-3.38
Ba (0.0000, 0.0000, 0.0000) (multiplicity 2)  12 O 2.96-3.11
Pu (0.0000, 0.0000, 0.4099) (multiplicity 4)  6 O 1.98-2.20
O (0.0000, 0.0000, 0.3273) (multiplicity 4)  1 Pu 1.98
O (0.0000, 0.0000, 0.5000) (multiplicity 2)  2 Pu 2.16
O (0.0000, 0.5000, 0.0827) (multiplicity 8)  2 Pu 2.20

Raw total energy, eV/atom: -8.19
Volume, Å³/f.u.: 231
DOS at the Fermi energy, states/eV per cell: 14.285
Magnetic moment, μB per atom: 0.5000


No. 4
# RbTaTi2O8

A relaxed RbTaTi2O8 crystal (PBE-GGA, Alexandria).

abc: 9.5292 5.9445 7.9613
angles: 90.00 110.67 90.00
Last column: nearest neighbours and their distance in Å.
Space group C2/m (No. 12)
Unique sites:
Rb (0.0000, 0.0000, 0.0000) (multiplicity 2)  8 O 2.93-3.07
Ta (0.0000, 0.0000, 0.5000) (multiplicity 2)  6 O 1.99-2.00
Ti (0.0810, 0.5000, 0.2748) (multiplicity 4)  4 O 1.78-1.95
O (0.0043, 0.2378, 0.3243) (multiplicity 8)  1 Ti 1.82, 1 Ta 2.00
O (0.0846, 0.5000, 0.0318) (multiplicity 4)  1 O 1.51
O (0.2227, 0.0000, 0.6040) (multiplicity 4)  1 Ti 1.78, 1 Ta 1.99

Raw total energy, eV/atom: -8.22
Volume, Å³/f.u.: 211
DOS at the Fermi energy, states/eV per cell: 0.000
Magnetic moment, μB per atom: 0.0060


No. 5
# NdMgTlCu

A relaxed NdMgTlCu crystal (PBE-GGA, Alexandria).

abc: 7.1820 7.1820 7.1820
angles: 90.00 90.00 90.00
Last column: nearest neighbours and their distance in Å.
Space group F-43m (No. 216)
Unique sites:
Nd (0.0000, 0.0000, 0.0000) (multiplicity 4)  4 Tl 3.11, 4 Cu 3.11
Mg (0.0000, 0.0000, 0.5000) (multiplicity 4)  4 Cu 3.11, 4 Tl 3.11
Tl (0.2500, 0.2500, 0.2500) (multiplicity 4)  4 Mg 3.11, 4 Nd 3.11
Cu (0.2500, 0.2500, 0.7500) (multiplicity 4)  4 Mg 3.11, 4 Nd 3.11

Energy of formation from the pure elements, eV/atom: -0.201
Volume, Å³/f.u.: 93
DOS at the Fermi energy, states/eV per cell: 6.745
Magnetic moment, μB per atom: 0.0000


No. 6
# AcLa2Ni9

A relaxed AcLa2Ni9 crystal (PBE-GGA, Alexandria).

abc: 5.1010 5.1010 25.0743
angles: 90.00 90.00 120.00
Last column: nearest neighbours and their distance in Å.
Space group R-3m (No. 166, hexagonal axes)
Unique sites:
Ac (0.0000, 0.0000, 0.0000) (multiplicity 3)  18 Ni 2.95-3.27
La (0.0000, 0.0000, 0.1392) (multiplicity 6)  12 Ni 2.93-3.19, 3 La 3.25
Ni (0.0000, 0.0000, 0.3320) (multiplicity 6)  6 Ni 2.49-2.54
Ni (0.0000, 0.0000, 0.5000) (multiplicity 3)  6 Ni 2.59
Ni (0.0019, 0.5010, 0.0814) (multiplicity 18)  7 Ni 2.49-2.59

Energy of formation from the pure elements, eV/atom: -0.290
Volume, Å³/f.u.: 188
DOS at the Fermi energy, states/eV per cell: 42.344
Magnetic moment, μB per atom: 0.0000


No. 7
# LiBrOF2

A relaxed LiBrOF2 crystal (PBE-GGA, Alexandria).

abc: 3.5299 3.5299 4.6615
angles: 90.00 90.00 90.00
Last column: nearest neighbours and their distance in Å.
Space group P4/mmm (No. 123)
Unique sites:
Li (0.0000, 0.0000, 0.0000) (multiplicity 1)  4 F 1.76
Br (0.5000, 0.5000, 0.5000) (multiplicity 1)  4 O 2.50
O (0.0000, 0.0000, 0.5000) (multiplicity 1)  2 Li 2.33, 4 Br 2.50
F (0.0000, 0.5000, 0.0000) (multiplicity 2)  2 Li 1.76

Volume, Å³/f.u.: 58
Distance to the lowest polymorph of the same formula, meV/atom: 117.7
DOS at the Fermi energy, states/eV per cell: 3.580
Magnetic moment, μB per atom: 0.2095


No. 8
# Tl12Hg7Bi

A relaxed Tl12Hg7Bi crystal (PBE-GGA, Alexandria).

abc: 13.4332 13.4332 12.2774
angles: 90.00 90.00 120.00
Last column: nearest neighbours and their distance in Å.
Space group R-3 (No. 148, hexagonal axes)
Unique sites:
Tl (0.9996, 0.4515, 0.2443) (multiplicity 18)  3 Hg 3.16-3.49, 2 Tl 3.47-3.50
Tl (0.0731, 0.8746, 0.8378) (multiplicity 18)  2 Hg 3.03-3.07, 1 Tl 3.22
Hg (0.0000, 0.0000, 0.0000) (multiplicity 3)  6 Tl 3.07
Hg (0.1004, 0.8944, 0.3413) (multiplicity 18)  1 Hg 2.97, 2 Tl 3.03-3.16, 1 Bi 3.09
Bi (0.0000, 0.0000, 0.5000) (multiplicity 3)  6 Hg 3.09

Energy of formation from the pure elements, eV/atom: 0.055
Volume, Å³/f.u.: 640
Distance to the lowest polymorph of the same formula, meV/atom: 44.7
DOS at the Fermi energy, states/eV per cell: 23.987
Magnetic moment, μB per atom: 0.0000


No. 9
# ScMn2Ru

A relaxed ScMn2Ru crystal (PBE-GGA, Alexandria).

abc: 2.9780 2.9780 6.8135
angles: 90.00 90.00 90.00
Last column: nearest neighbours and their distance in Å.
Space group P4/mmm (No. 123)
Unique sites:
Sc (0.0000, 0.0000, 0.0000) (multiplicity 1)  8 Mn 2.86, 4 Sc 2.98
Mn (0.5000, 0.5000, 0.2833) (multiplicity 2)  4 Ru 2.57, 4 Sc 2.86
Ru (0.0000, 0.0000, 0.5000) (multiplicity 1)  8 Mn 2.57

Energy of formation from the pure elements, eV/atom: 0.098
Volume, Å³/f.u.: 60
Distance to the lowest polymorph of the same formula, meV/atom: 163.5
DOS at the Fermi energy, states/eV per cell: 4.890
Magnetic moment, μB per atom: 1.1652


No. 10
# Pd3S

A relaxed Pd3S crystal (PBE-GGA, Alexandria).

abc: 7.4380 5.4180 6.3766
angles: 90.00 90.00 90.00
Last column: nearest neighbours and their distance in Å.
Space group Cmcm (No. 63)
Unique sites:
Pd (0.0000, 0.0000, 0.0000) (multiplicity 4)  2 S 2.32
Pd (0.1951, 0.3467, 0.2500) (multiplicity 8)  2 S 2.36-2.42
S (0.0000, 0.3099, 0.7500) (multiplicity 4)  6 Pd 2.32-2.42

Raw total energy, eV/atom: -5.13
Volume, Å³/f.u.: 64
DOS at the Fermi energy, states/eV per cell: 6.560
Magnetic moment, μB per atom: 0.0000


No. 11
# Zn5Ga2Cu5

A relaxed Zn5Ga2Cu5 crystal (PBE-GGA, Alexandria).

abc: 7.2026 4.2154 11.5832
angles: 90.00 101.98 90.00
Last column: nearest neighbours and their distance in Å.
Space group C2/m (No. 12)
Unique sites:
Zn (0.0000, 0.0000, 0.0000) (multiplicity 2)  6 Cu 2.50
Zn (0.1955, 0.0000, 0.5886) (multiplicity 4)  7 Cu 2.48-2.62
Zn (0.2273, 0.5000, 0.1629) (multiplicity 4)  4 Cu 2.50-2.71, 3 Ga 2.72-2.74
Ga (0.0722, 0.5000, 0.7256) (multiplicity 4)  5 Cu 2.46-2.61, 3 Zn 2.72-2.74
Cu (0.0000, 0.5000, 0.5000) (multiplicity 2)  2 Ga 2.56, 6 Zn 2.61-2.62
Cu (0.1218, 0.0000, 0.3597) (multiplicity 4)  4 Zn 2.48-2.59, 3 Ga 2.60-2.61
Cu (0.1453, 0.5000, 0.9427) (multiplicity 4)  1 Ga 2.46, 7 Zn 2.50-2.71, 1 Cu 2.70

Energy of formation from the pure elements, eV/atom: -0.049
Volume, Å³/f.u.: 172
DOS at the Fermi energy, states/eV per cell: 3.778
Magnetic moment, μB per atom: 0.0000


No. 12
# Na3Sc3PaSe8

A relaxed Na3Sc3PaSe8 crystal (PBE-GGA, Alexandria).

abc: 13.7624 7.9460 8.3871
angles: 90.00 123.16 90.00
Last column: nearest neighbours and their distance in Å.
Space group C2/m (No. 12)
Unique sites:
Na (0.0000, 0.0000, 0.0000) (multiplicity 2)  6 Se 3.03-3.05
Na (0.2500, 0.2500, 0.0000) (multiplicity 4)  6 Se 3.03-3.04
Sc (0.0000, 0.5000, 0.5000) (multiplicity 2)  6 Se 2.74-2.76
Sc (0.2500, 0.2500, 0.5000) (multiplicity 4)  6 Se 2.74-2.76
Pa (0.0000, 0.0000, 0.5000) (multiplicity 2)  6 Se 2.83-2.84
Se (0.0119, 0.2585, 0.2785) (multiplicity 8)  2 Sc 2.74, 1 Pa 2.83, 2 Na 3.04-3.05
Se (0.2393, 0.5000, 0.7178) (multiplicity 4)  3 Sc 2.76, 3 Na 3.03
Se (0.2462, 0.0000, 0.7221) (multiplicity 4)  2 Sc 2.74, 1 Pa 2.84, 2 Na 3.04

Raw total energy, eV/atom: -5.55
Volume, Å³/f.u.: 384
DOS at the Fermi energy, states/eV per cell: 14.959
Magnetic moment, μB per atom: 0.0695


Question: What is the magnetic moment in the first record?
Answer: 0.4015 μB per atom


What did the eighth record say?
# Tl12Hg7Bi

A relaxed Tl12Hg7Bi crystal (PBE-GGA, Alexandria).

abc: 13.4332 13.4332 12.2774
angles: 90.00 90.00 120.00
Last column: nearest neighbours and their distance in Å.
Space group R-3 (No. 148, hexagonal axes)
Unique sites:
Tl (0.9996, 0.4515, 0.2443) (multiplicity 18)  3 Hg 3.16-3.49, 2 Tl 3.47-3.50
Tl (0.0731, 0.8746, 0.8378) (multiplicity 18)  2 Hg 3.03-3.07, 1 Tl 3.22
Hg (0.0000, 0.0000, 0.0000) (multiplicity 3)  6 Tl 3.07
Hg (0.1004, 0.8944, 0.3413) (multiplicity 18)  1 Hg 2.97, 2 Tl 3.03-3.16, 1 Bi 3.09
Bi (0.0000, 0.0000, 0.5000) (multiplicity 3)  6 Hg 3.09

Energy of formation from the pure elements, eV/atom: 0.055
Volume, Å³/f.u.: 640
Distance to the lowest polymorph of the same formula, meV/atom: 44.7
DOS at the Fermi energy, states/eV per cell: 23.987
Magnetic moment, μB per atom: 0.0000